Entry 1:
Here is Ac4GeSbI2 after structural relaxation from Alexandria via LeMat-Bulk. Energies are from GGA-PBE.

## Properties
The uncorrected formation energy comes out at -1064.7 meV/atom. The calculation puts the total energy at -4.599 eV/atom. The value obtained for the total moment is 0.00 μB per atom.

a = 8.285 Å, b = 4.717 Å, c = 8.329 Å
α = 90.00°, β = 108.94°, γ = 90.00°
Space group P2/m (No. 10)
Asymmetric unit:
Ac  0.220  0.000  0.207 (multiplicity 2)
Ac  0.244  0.500  0.786 (multiplicity 2)
Ge  0.000  0.500  0.000 (multiplicity 1)
Sb  0.500  0.000  0.000 (multiplicity 1)
I  0.000  0.000  0.500 (multiplicity 1)
I  0.500  0.500  0.500 (multiplicity 1)


Entry 2:
Here is BaScN2 after structural relaxation from Alexandria via LeMat-Bulk. Energies are from GGA-PBE.

## Properties
The uncorrected formation energy comes out at 179.9 meV/atom. The calculation puts the total energy at -6.046 eV/atom. The value obtained for the total moment is 0.00 μB per atom.

a = 6.283 Å, b = 6.283 Å, c = 6.283 Å
α = 90.00°, β = 90.00°, γ = 90.00°
Space group Fm-3m (No. 225)
Asymmetric unit:
Ba  0.000  0.000  0.000 (multiplicity 4)
Sc  0.000  0.000  0.500 (multiplicity 4)
N  0.250  0.250  0.250 (multiplicity 8)


Entry 3:
Here is DyTm4S5 after structural relaxation from Alexandria via LeMat-Bulk. Energies are from GGA-PBE.

## Properties
The uncorrected formation energy comes out at -1937.3 meV/atom. The calculation puts the total energy at -6.250 eV/atom. The value obtained for the total moment is 0.00 μB per atom.

a = 3.859 Å, b = 5.441 Å, c = 19.276 Å
α = 90.00°, β = 90.00°, γ = 90.00°
Space group Immm (No. 71)
Asymmetric unit:
Dy  0.000  0.000  0.000 (multiplicity 2)
Tm  0.000  0.000  0.201 (multiplicity 4)
Tm  0.000  0.000  0.400 (multiplicity 4)
S  0.000  0.500  0.000 (multiplicity 2)
S  0.000  0.500  0.200 (multiplicity 4)
S  0.000  0.500  0.398 (multiplicity 4)


Entry 4:
Here is Sc2NiHg after structural relaxation from Alexandria via LeMat-Bulk. Energies are from GGA-PBE.

## Properties
The value obtained for the energy of formation is -0.276 eV/atom. The calculation puts the total energy at -4.963 eV/atom. The value obtained for the total moment is 0.00 μB per atom.

a = 6.122 Å, b = 3.560 Å, c = 7.957 Å
α = 90.00°, β = 105.16°, γ = 90.00°
Space group C2/m (No. 12)
Asymmetric unit:
Sc  0.233  0.000  0.202 (multiplicity 4)
Ni  0.000  0.500  0.000 (multiplicity 2)
Hg  0.000  0.000  0.500 (multiplicity 2)